A plane-wave DFT calculation with GGA-PBE was carried out for crystalline HfMnGaSb2 at its relaxed geometry.

abc: 5.231 5.231 4.484
angles: 90.00 90.00 90.00
Element x y z (fractional)
Hf  0.000  0.000  0.000
Mn  0.500  0.500  0.000
Ga  0.500  0.500  0.500
Sb  0.000  0.500  0.500
Sb  0.500  0.000  0.500

Results
Uncorrected formation energy (eV per atom): 0.74
Total magnetic moment (Bohr magnetons per cell): 2.75
Space group: No. 123

A plane-wave DFT calculation with GGA-PBE was carried out for crystalline HfScMnGa2 at its relaxed geometry.

abc: 5.066 5.066 4.921
angles: 90.00 90.00 90.00
Element x y z (fractional)
Hf  0.000  0.000  0.000
Sc  0.000  0.000  0.500
Mn  0.500  0.500  0.000
Ga  0.000  0.500  0.500
Ga  0.500  0.000  0.500

Results
Offset from the most stable computed form (kJ/mol of atoms): 46.3
Total magnetic moment (Bohr magnetons per cell): 4.22
Space group: No. 123

A plane-wave DFT calculation with GGA-PBE was carried out for crystalline HfScMnGa2 at its relaxed geometry.

abc: 5.096 5.096 4.585
angles: 90.00 90.00 90.00
Element x y z (fractional)
Hf  0.000  0.000  0.000
Sc  0.500  0.500  0.500
Mn  0.000  0.000  0.500
Ga  0.000  0.500  0.000
Ga  0.500  0.000  0.000

Results
Offset from the most stable computed form (kJ/mol of atoms): 0.0
Total magnetic moment (Bohr magnetons per cell): 2.74
Space group: No. 123

A plane-wave DFT calculation with GGA-PBE was carried out for crystalline SrHf2MnGa at its relaxed geometry.

abc: 5.169 5.169 4.530
angles: 90.00 90.00 90.00
Element x y z (fractional)
Sr  0.000  0.000  0.000
Hf  0.000  0.500  0.500
Hf  0.500  0.000  0.500
Mn  0.500  0.500  0.000
Ga  0.500  0.500  0.500

Results
Total magnetic moment (Bohr magnetons per cell): 0.00
Space group: No. 123

A plane-wave DFT calculation with GGA-PBE was carried out for crystalline Y2HfMnGa at its relaxed geometry.

abc: 5.195 5.195 4.685
angles: 90.00 90.00 90.00
Element x y z (fractional)
Y  0.000  0.500  0.000
Y  0.500  0.000  0.000
Hf  0.000  0.000  0.500
Mn  0.000  0.000  0.000
Ga  0.500  0.500  0.500

Results
Total magnetic moment (Bohr magnetons per cell): 0.74
Space group: No. 123

A plane-wave DFT calculation with GGA-PBE was carried out for crystalline HfZr2MnGa at its relaxed geometry.

abc: 5.025 5.025 4.331
angles: 90.00 90.00 90.00
Element x y z (fractional)
Hf  0.000  0.000  0.000
Zr  0.000  0.500  0.500
Zr  0.500  0.000  0.500
Mn  0.500  0.500  0.000
Ga  0.500  0.500  0.500

Results
Offset from the most stable computed form (kJ/mol of atoms): 0.0
Total magnetic moment (Bohr magnetons per cell): 0.00
Space group: No. 123

Ordered electronic total energy results: -5.340 -5.188 -5.668 -5.920 -6.735 -7.143; unit eV per atom.